VASP calculation (PBE) on La3Nd2Cd3 after structural relaxation.

- mass density (g/cm³) = 6.8
- calculated total energy (eV per formula unit) = -29.0
- formation enthalpy at 0 K (eV/atom) = -0.25

Lattice parameters (Å, degrees): 3.8963 5.6484 23.0230 90.00 90.00 90.00
With the nearest neighbours (Å) after each atom.
Space group Immm (No. 71)
One atom of each set of equivalent atoms:
La (0.0000, 0.0000, 0.0000) x2  8 Cd 3.39-3.43
La (0.0000, 0.5000, 0.1223) x4  6 Cd 3.42-3.43, 4 Nd 3.83
Nd (0.0000, 0.0000, 0.2347) x4  2 Cd 3.28, 4 Nd 3.50
Cd (0.0000, 0.0000, 0.5000) x2  8 La 3.42-3.43
Cd (0.0000, 0.5000, 0.3797) x4  2 Nd 3.28, 6 La 3.39-3.43


VASP calculation (PBE) on LaNd2Cd after structural relaxation.

- mass density (g/cm³) = 7.2
- energy above the most stable polymorph in this dataset (meV/atom) = 145
- calculated total energy (eV per formula unit) = -15.4
- formation enthalpy at 0 K (eV/atom) = -0.01

Lattice parameters (Å, degrees): 7.9146 7.9146 7.9146 90.00 90.00 90.00
With the nearest neighbours (Å) after each atom.
Space group Fm-3m (No. 225)
One atom of each set of equivalent atoms:
La (0.0000, 0.0000, 0.0000) x4  8 Nd 3.43
Nd (0.2500, 0.2500, 0.2500) x8  4 Cd 3.43, 4 La 3.43
Cd (0.0000, 0.0000, 0.5000) x4  8 Nd 3.43


VASP calculation (PBE) on La3Nd12Cd after structural relaxation.

- mass density (g/cm³) = 6.8
- calculated total energy (eV per formula unit) = -73.0
- formation enthalpy at 0 K (eV/atom) = -0.01

Lattice parameters (Å, degrees): 5.1562 5.1562 20.8135 90.00 90.00 90.00
With the nearest neighbours (Å) after each atom.
Space group P4/mmm (No. 123)
One atom of each set of equivalent atoms:
La (0.0000, 0.0000, 0.0000) x1  12 Nd 3.65-3.69
La (0.0000, 0.0000, 0.2539) x2  12 Nd 3.65-3.69
Nd (0.0000, 0.5000, 0.1268) x4  8 Nd 3.65-3.74, 4 La 3.69
Nd (0.0000, 0.5000, 0.3808) x4  2 Cd 3.58, 8 Nd 3.58-3.65, 2 La 3.69
Nd (0.5000, 0.5000, 0.0000) x1  4 La 3.65, 8 Nd 3.69
Nd (0.5000, 0.5000, 0.2567) x2  4 La 3.65, 8 Nd 3.65-3.74
Nd (0.5000, 0.5000, 0.5000) x1  8 Nd 3.58, 4 Cd 3.65
Cd (0.0000, 0.0000, 0.5000) x1  12 Nd 3.58-3.65


VASP calculation (PBE) on LaNd2Cd after structural relaxation.

- mass density (g/cm³) = 6.9
- energy above the most stable polymorph in this dataset (meV/atom) = 0
- calculated total energy (eV per formula unit) = -16.0
- formation enthalpy at 0 K (eV/atom) = -0.15

Lattice parameters (Å, degrees): 3.7935 3.7935 8.9682 90.00 90.00 90.00
With the nearest neighbours (Å) after each atom.
Space group P4/mmm (No. 123)
One atom of each set of equivalent atoms:
La (0.0000, 0.0000, 0.0000) x1  8 Nd 3.67, 4 La 3.79
Nd (0.5000, 0.5000, 0.2796) x2  4 Cd 3.33, 4 La 3.67
Cd (0.0000, 0.0000, 0.5000) x1  8 Nd 3.33